Computed, not measured: a relaxed structure of Ac5Pr2SmEr at the PBE level of DFT.

Calculated values
**Total magnetization**: 0.00 μB per formula unit
**ΔE_f**: 2.57 eV/f.u.

CIF file:
```
data_Ac5Pr2SmEr
_space_group_name_H-M_alt 'I 4/m c m'
_space_group_IT_number 140
_space_group_name_Hall '-I 4 2c'
_cell_length_a 8.518
_cell_length_b 8.518
_cell_length_c 20.464
_cell_angle_alpha 90.00
_cell_angle_beta 90.00
_cell_angle_gamma 90.00
loop_
_atom_site_label
_atom_site_type_symbol
_atom_site_fract_x
_atom_site_fract_y
_atom_site_fract_z
_atom_site_occupancy
Ac1 Ac 0.000 0.000 0.000 1
Ac2 Ac 0.226 0.274 0.139 1
Pr1 Pr 0.122 0.378 0.500 1
Sm1 Sm 0.000 0.000 0.250 1
Er1 Er 0.000 0.500 0.250 1
```

Computed, not measured: a relaxed structure of AcPrSm4Er2 at the PBE level of DFT.

Calculated values
**Total magnetization**: 0.00 μB per formula unit
**ΔE_f**: 0.30 eV/f.u.

CIF file:
```
data_AcPrSm4Er2
_space_group_name_H-M_alt 'C 1 2/m 1'
_space_group_IT_number 12
_cell_length_a 11.563
_cell_length_b 5.160
_cell_length_c 10.379
_cell_angle_alpha 90.00
_cell_angle_beta 116.72
_cell_angle_gamma 90.00
loop_
_space_group_symop_operation_xyz
'x,y,z'
'-x,-y,-z'
'-x,y,-z'
'x,-y,z'
'x+1/2,y+1/2,z'
'-x+1/2,-y+1/2,-z'
'-x+1/2,y+1/2,-z'
'x+1/2,-y+1/2,z'
loop_
_atom_site_label
_atom_site_type_symbol
_atom_site_fract_x
_atom_site_fract_y
_atom_site_fract_z
_atom_site_occupancy
Ac1 Ac 0.000 0.000 0.000 1
Pr1 Pr 0.000 0.000 0.500 1
Sm1 Sm 0.248 0.000 0.871 1
Sm2 Sm 0.249 0.500 0.622 1
Er1 Er 0.001 0.500 0.745 1
```

Which value of ΔE_f does entry 2 give? 0.30 eV/f.u.